A relaxed Nd2Sm2DyY2 crystal, computed with PBE-GGA.

Calculated values
spin magnetization = 0.0 μB per formula unit
ΔH_f (0 K) = 0.12 eV per formula unit
V = 468.24 Å³ per cell

a b c (Å): 11.4408 5.1154 8.0831
angles (deg): 90.00 98.18 90.00
Space group C2/m (No. 12)
Symmetry-distinct sites (fractional):
Nd 0.1426 0.0000 0.4272
Sm 0.0707 0.5000 0.7168
Dy 0.0000 0.0000 0.0000
Y 0.2145 0.5000 0.1406